Record 1
The following is a PBE calculation of a relaxed structure of Nd2Sm3Tl2, from Alexandria.

- M_tot: 0.000 μB per atom
- Energy above the most stable polymorph in this dataset: 85 meV per atom
- Calculated density: 8.46 g cm⁻³
- ΔH_f (0 K): -0.12 eV per atom

Cell and atoms, written as extended XYZ:
```
7
Lattice="-1.322 -4.701 -2.107 2.478 -1.696 2.229 -8.588 1.901 7.858" Properties=species:S:1:pos:R:3 pbc="T T T"
Sm 0.000 0.000 0.000
Nd -6.844 -1.109 6.766
Nd -0.588 -3.387 1.214
Sm -3.912 -2.877 2.161
Tl -6.244 -3.255 4.466
Sm -3.520 -1.619 5.819
Tl -1.188 -1.241 3.514
```

=====

Record 2
The following is a PBE calculation of a relaxed structure of Nd5Sm2Tl5, from Alexandria.

- M_tot: 0.000 μB per atom
- Calculated density: 9.01 g cm⁻³
- ΔH_f (0 K): -0.23 eV per atom

Cell and atoms, written as extended XYZ:
```
12
Lattice="5.244 0.000 0.000 -2.622 6.003 -0.381 0.000 -3.492 12.189" Properties=species:S:1:pos:R:3 pbc="T T T"
Tl 0.000 0.000 0.000
Tl 0.000 0.279 5.550
Nd 0.000 1.686 8.440
Sm 2.622 4.437 2.528
Nd 2.622 0.824 3.368
Tl 0.000 2.541 2.516
Nd 2.622 1.817 -0.031
Sm 0.000 -1.927 9.280
Nd 2.622 -1.746 6.095
Tl 2.622 -0.031 9.292
Nd 0.000 0.693 11.838
Tl 2.622 2.231 6.258
```

=====

- ΔH_f (0 K) of number 1 (Nd2Sm3Tl2)?
  -0.12 eV per atom

=====

What did the first record say?
The following is a PBE calculation of a relaxed structure of Nd2Sm3Tl2, from Alexandria.

- M_tot: 0.000 μB per atom
- Energy above the most stable polymorph in this dataset: 85 meV per atom
- Calculated density: 8.46 g cm⁻³
- ΔH_f (0 K): -0.12 eV per atom

Cell and atoms, written as extended XYZ:
```
7
Lattice="-1.322 -4.701 -2.107 2.478 -1.696 2.229 -8.588 1.901 7.858" Properties=species:S:1:pos:R:3 pbc="T T T"
Sm 0.000 0.000 0.000
Nd -6.844 -1.109 6.766
Nd -0.588 -3.387 1.214
Sm -3.912 -2.877 2.161
Tl -6.244 -3.255 4.466
Sm -3.520 -1.619 5.819
Tl -1.188 -1.241 3.514
```